First-principles (PBE) data for BaAsHPt after structural relaxation, as listed in the Alexandria database.

```
data_BaAsHPt
_chemical_formula_sum 'Ba1 As1 H1 Pt1'
_cell_length_a 5.104
_cell_length_b 4.804
_cell_length_c 3.867
_cell_angle_alpha 90.00
_cell_angle_beta 90.00
_cell_angle_gamma 90.00
_symmetry_space_group_name_H-M 'P 1'
_symmetry_Int_Tables_number 1
loop_
_symmetry_equiv_pos_as_xyz
'x,y,z'
loop_
_atom_site_label
_atom_site_fract_x
_atom_site_fract_y
_atom_site_fract_z
Ba1 0.500 0.500 0.500
As1 0.000 0.500 0.000
Pt1 0.000 0.000 0.000
H1 0.000 0.000 0.500
```

Raw total energy = -17.65 eV/cell
Space group = No. 47
Calculated volume = 23.70 Å³/atom

***

First-principles (PBE) data for Ac2In8Cu after structural relaxation, as listed in the Alexandria database.

```
data_Ac2In8Cu
_chemical_formula_sum 'Ac2 In8 Cu1'
_cell_length_a 4.884
_cell_length_b 4.884
_cell_length_c 12.803
_cell_angle_alpha 90.00
_cell_angle_beta 90.00
_cell_angle_gamma 90.00
_symmetry_space_group_name_H-M 'P 1'
_symmetry_Int_Tables_number 1
loop_
_symmetry_equiv_pos_as_xyz
'x,y,z'
loop_
_atom_site_label
_atom_site_fract_x
_atom_site_fract_y
_atom_site_fract_z
In1 0.500 0.500 0.303
In2 0.000 0.500 0.500
In3 0.000 0.500 0.117
In4 0.500 0.500 0.697
In5 0.000 0.500 0.883
In6 0.500 0.000 0.883
Ac1 0.000 0.000 0.304
In7 0.500 0.000 0.500
In8 0.500 0.000 0.117
Ac2 0.000 0.000 0.696
Cu1 0.000 0.000 0.000
```

Formation enthalpy at 0 K = -0.281 eV/atom
Space group = No. 123
Calculated volume = 27.76 Å³/atom

***

First-principles (PBE) data for RbScCoCl6 after structural relaxation, as listed in the Alexandria database.

```
data_RbScCoCl6
_chemical_formula_sum 'Rb1 Sc1 Co1 Cl6'
_cell_length_a 6.481
_cell_length_b 6.479
_cell_length_c 7.414
_cell_angle_alpha 90.29
_cell_angle_beta 90.15
_cell_angle_gamma 60.01
_symmetry_space_group_name_H-M 'P 1'
_symmetry_Int_Tables_number 1
loop_
_symmetry_equiv_pos_as_xyz
'x,y,z'
loop_
_atom_site_label
_atom_site_fract_x
_atom_site_fract_y
_atom_site_fract_z
Cl1 0.994 0.622 0.694
Co1 0.665 0.667 0.500
Cl2 0.378 0.994 0.691
Rb1 0.000 0.000 0.000
Cl3 0.628 0.377 0.691
Sc1 0.333 0.334 0.500
Cl4 0.378 0.628 0.309
Cl5 0.994 0.384 0.306
Cl6 0.628 0.994 0.308
```

Space group = No. 5
Formation energy without anion corrections = -1.573 eV per atom
Calculated volume = 29.96 Å³/atom

***

First-principles (PBE) data for LaAg4 after structural relaxation, as listed in the Alexandria database.

```
data_LaAg4
_chemical_formula_sum 'La1 Ag4'
_cell_length_a 7.137
_cell_length_b 7.137
_cell_length_c 7.137
_cell_angle_alpha 145.74
_cell_angle_beta 145.74
_cell_angle_gamma 49.24
_symmetry_space_group_name_H-M 'P 1'
_symmetry_Int_Tables_number 1
loop_
_symmetry_equiv_pos_as_xyz
'x,y,z'
loop_
_atom_site_label
_atom_site_fract_x
_atom_site_fract_y
_atom_site_fract_z
La1 0.000 0.000 0.000
Ag1 0.750 0.250 0.500
Ag2 0.395 0.395 0.000
Ag3 0.250 0.750 0.500
Ag4 0.605 0.605 0.000
```

Formation enthalpy at 0 K = -0.126 eV/atom
Space group = No. 139
Calculated volume = 22.95 Å³/atom

***

First-principles (PBE) data for ZrNi2BrN after structural relaxation, as listed in the Alexandria database.

```
data_ZrNi2BrN
_chemical_formula_sum 'Zr1 Ni2 Br1 N1'
_cell_length_a 4.791
_cell_length_b 5.277
_cell_length_c 4.791
_cell_angle_alpha 90.00
_cell_angle_beta 90.00
_cell_angle_gamma 90.00
_symmetry_space_group_name_H-M 'P 1'
_symmetry_Int_Tables_number 1
loop_
_symmetry_equiv_pos_as_xyz
'x,y,z'
loop_
_atom_site_label
_atom_site_fract_x
_atom_site_fract_y
_atom_site_fract_z
N1 0.500 0.500 0.500
Zr1 0.000 0.000 0.000
Br1 0.000 0.500 0.000
Ni1 0.500 0.000 0.000
Ni2 0.000 0.000 0.500
```

Space group = No. 123
Formation energy without anion corrections = 1.693 eV per atom
Calculated volume = 24.23 Å³/atom

***

First-principles (PBE) data for GdDy2Tc after structural relaxation, as listed in the Alexandria database.

```
data_GdDy2Tc
_chemical_formula_sum 'Gd1 Dy2 Tc1'
_cell_length_a 4.852
_cell_length_b 4.852
_cell_length_c 5.700
_cell_angle_alpha 64.81
_cell_angle_beta 64.81
_cell_angle_gamma 60.00
_symmetry_space_group_name_H-M 'P 1'
_symmetry_Int_Tables_number 1
loop_
_symmetry_equiv_pos_as_xyz
'x,y,z'
loop_
_atom_site_label
_atom_site_fract_x
_atom_site_fract_y
_atom_site_fract_z
Tc1 0.000 0.000 0.000
Dy1 0.729 0.729 0.813
Gd1 0.500 0.500 0.500
Dy2 0.271 0.271 0.187
```

Formation enthalpy at 0 K = 0.176 eV/atom
Space group = No. 166
Calculated volume = 25.31 Å³/atom